Record 1
A relaxed structure of BaCd2Pt, computed with PBE-GGA.

The space group is Cmcm (No. 63) and the conventional cell measures 4.5104, 11.2317 and 8.3181 Å, with angles of 90.00, 90.00 and 90.00 degrees. The inequivalent atoms are Ba at (0.0000, 0.0590, 0.2500), Cd at (0.0000, 0.3435, 0.0561) and Pt at (0.0000, 0.2227, 0.7500).

For the total energy, the calculation gives -47.51 eV/cell. The volume comes out at 26.3 A^3/atom.

=====

Record 2
A relaxed structure of RbCd3Pt, computed with PBE-GGA.

The space group is Pm-3m (No. 221) and the conventional cell measures 5.3259, 5.3259 and 5.3259 Å, with angles of 90.00, 90.00 and 90.00 degrees. The inequivalent atoms are Rb at (0.0000, 0.0000, 0.0000), Cd at (0.0000, 0.5000, 0.5000) and Pt at (0.5000, 0.5000, 0.5000).

For the total energy, the calculation gives -10.99 eV/cell. The volume comes out at 30.2 A^3/atom.

=====

Copy entry 1 word for word.
A relaxed structure of BaCd2Pt, computed with PBE-GGA.

The space group is Cmcm (No. 63) and the conventional cell measures 4.5104, 11.2317 and 8.3181 Å, with angles of 90.00, 90.00 and 90.00 degrees. The inequivalent atoms are Ba at (0.0000, 0.0590, 0.2500), Cd at (0.0000, 0.3435, 0.0561) and Pt at (0.0000, 0.2227, 0.7500).

For the total energy, the calculation gives -47.51 eV/cell. The volume comes out at 26.3 A^3/atom.